Version P
## Ca2VSn (PBE-GGA)

Data for an optimized crystal structure of Ca2VSn.

POSCAR file:
```
Ca2VSn
1.0
8.5216 0.0000 0.0000
0.0000 8.5216 0.0000
4.2608 4.2608 3.0906
Sn V Ca
2 2 4
Direct
0.0000 0.0000 0.0000
0.7500 0.2500 0.5000
0.5000 0.5000 0.0000
0.2500 0.7500 0.5000
0.8750 0.8644 0.7500
0.1356 0.6250 0.2500
0.3750 0.3856 0.7500
0.6144 0.1250 0.2500
```

Output
- SG = I-42d
- crystal system = tetragonal

Version Q
## Ca2VSn (PBE-GGA)

Data for an optimized crystal structure of Ca2VSn.

POSCAR file:
```
Ca2VSn
1.0
0.0000 3.7575 3.7575
3.7575 0.0000 3.7575
3.7575 3.7575 0.0000
V Ca Sn
1 2 1
Direct
0.0000 0.0000 0.0000
0.7500 0.7500 0.7500
0.2500 0.2500 0.2500
0.5000 0.5000 0.5000
```

Output
- SG = Fm-3m
- crystal system = cubic

What are the relative energies? In meV/atom: version P 390; version Q 0.

Version P
## CaSn2W (PBE-GGA)

Data for an optimized crystal structure of CaSn2W.

POSCAR file:
```
CaSn2W
1.0
5.2609 0.0000 0.0000
0.0000 5.2609 0.0000
2.6305 2.6305 9.0521
Ca Sn W
2 4 2
Direct
0.2500 0.7500 0.5000
0.5000 0.5000 0.0000
0.7493 0.1250 0.2500
0.3750 0.2507 0.7500
0.0007 0.6250 0.2500
0.8750 0.9993 0.7500
0.7500 0.2500 0.5000
0.0000 0.0000 0.0000
```

Output
- SG = I-42d
- crystal system = tetragonal

Version Q
## CaSn2W (PBE-GGA)

Data for an optimized crystal structure of CaSn2W.

POSCAR file:
```
CaSn2W
1.0
-2.5923 -1.4386 4.0049
-4.4510 -2.1688 -0.5603
-0.5518 -4.8501 1.0004
Sn Ca W
2 1 1
Direct
0.7500 0.7500 0.7500
0.2500 0.2500 0.2500
0.0000 0.0000 0.0000
0.5000 0.5000 0.5000
```

Output
- SG = Fm-3m
- crystal system = cubic

What are the relative energies? In meV/atom: version P 346; version Q 0.

Version P
## CaY2Sn2 (PBE-GGA)

Data for an optimized crystal structure of CaY2Sn2.

POSCAR file:
```
CaY2Sn2
1.0
8.8174 0.0000 0.0000
0.0000 8.8174 0.0000
0.0000 0.0000 3.7997
Y Ca Sn
4 2 4
Direct
0.1418 0.6418 0.5000
0.8582 0.3582 0.5000
0.6418 0.8582 0.5000
0.3582 0.1418 0.5000
0.5000 0.5000 0.0000
0.0000 0.0000 0.0000
0.1592 0.3408 0.0000
0.6592 0.1592 0.0000
0.3408 0.8408 0.0000
0.8408 0.6592 0.0000
```

Output
- SG = P4/mbm
- crystal system = tetragonal

Version Q
## CaY2Sn2 (PBE-GGA)

Data for an optimized crystal structure of CaY2Sn2.

POSCAR file:
```
CaY2Sn2
1.0
4.8896 0.0000 0.0000
0.0000 4.8896 0.0000
2.4448 2.4448 6.7188
Ca Y Sn
1 2 2
Direct
0.0000 0.0000 0.0000
0.2500 0.7500 0.5000
0.7500 0.2500 0.5000
0.3932 0.3932 0.2135
0.6068 0.6068 0.7865
```

Output
- SG = I4/mmm
- crystal system = tetragonal

What are the relative energies? In meV/atom: version P 0; version Q 185.